{
  "formula": "TbFeTe",
  "functional": "PBE",
  "state": "relaxed",
  "raw_formation_energy_ev_per_fu": -1.2,
  "magmom_total_mub_per_atom": 0.000,
  "sg": "R-3m",
  "cell": [[1.913, 1.104, 12.134], [-1.913, 1.104, 12.134], [0.000, -2.209, 12.134]],
  "species": ["Tb", "Tb", "Fe", "Fe", "Te", "Te"],
  "fractional_positions": [[0.057, 0.057, 0.057], [0.943, 0.943, 0.943], [0.335, 0.335, 0.335], [0.665, 0.665, 0.665], [0.217, 0.217, 0.217], [0.783, 0.783, 0.783]]
}


{
  "formula": "Tb7Fe2Te2",
  "functional": "PBE",
  "state": "relaxed",
  "raw_formation_energy_ev_per_fu": -5.3,
  "magmom_total_mub_per_atom": 0.128,
  "sg": "Imm2",
  "cell": [[-1.955, 7.923, 4.724], [1.955, -7.923, 4.724], [1.955, 7.923, -4.724]],
  "species": ["Tb", "Tb", "Tb", "Tb", "Tb", "Tb", "Tb", "Fe", "Fe", "Te", "Te"],
  "fractional_positions": [[0.000, 0.000, 0.000], [0.284, 0.418, 0.866], [0.309, 0.623, 0.685], [0.552, 0.418, 0.134], [0.614, 0.264, 0.350], [0.914, 0.264, 0.650], [0.938, 0.623, 0.315], [0.171, 0.933, 0.238], [0.695, 0.933, 0.762], [0.265, 0.765, 0.500], [0.667, 0.667, 0.000]]
}


{
  "formula": "Tb5Fe2Te2",
  "functional": "PBE",
  "state": "relaxed",
  "raw_formation_energy_ev_per_fu": -5.2,
  "magmom_total_mub_per_atom": 0.156,
  "sg": "Cmce",
  "cell": [[7.893, -3.858, 0.000], [7.893, 3.858, 0.000], [0.000, 0.000, 7.655]],
  "species": ["Tb", "Tb", "Tb", "Tb", "Tb", "Tb", "Tb", "Tb", "Tb", "Tb", "Fe", "Fe", "Fe", "Fe", "Te", "Te", "Te", "Te"],
  "fractional_positions": [[0.000, 0.000, 0.000], [0.049, 0.711, 0.668], [0.211, 0.549, 0.168], [0.289, 0.951, 0.668], [0.451, 0.789, 0.168], [0.500, 0.500, 0.500], [0.549, 0.211, 0.832], [0.711, 0.049, 0.332], [0.789, 0.451, 0.832], [0.951, 0.289, 0.332], [0.109, 0.891, 0.394], [0.391, 0.609, 0.894], [0.609, 0.391, 0.106], [0.891, 0.109, 0.606], [0.211, 0.211, 0.000], [0.289, 0.289, 0.500], [0.711, 0.711, 0.500], [0.789, 0.789, 0.000]]
}


{
  "formula": "Tb5Fe2Te",
  "functional": "PBE",
  "state": "relaxed",
  "raw_formation_energy_ev_per_fu": -2.6,
  "magmom_total_mub_per_atom": 0.299,
  "sg": "I4/mcm",
  "cell": [[-3.785, 3.785, 7.032], [3.785, -3.785, 7.032], [3.785, 3.785, -7.032]],
  "species": ["Tb", "Tb", "Tb", "Tb", "Tb", "Tb", "Tb", "Tb", "Tb", "Tb", "Fe", "Fe", "Fe", "Fe", "Te", "Te"],
  "fractional_positions": [[0.000, 0.000, 0.000], [0.025, 0.525, 0.824], [0.201, 0.025, 0.500], [0.299, 0.799, 0.824], [0.475, 0.299, 0.500], [0.500, 0.500, 0.000], [0.525, 0.701, 0.500], [0.701, 0.201, 0.176], [0.799, 0.975, 0.500], [0.975, 0.475, 0.176], [0.114, 0.386, 0.500], [0.386, 0.886, 0.271], [0.614, 0.114, 0.729], [0.886, 0.614, 0.500], [0.250, 0.250, 0.000], [0.750, 0.750, 0.000]]
}


{
  "formula": "Tb4FeTe",
  "functional": "PBE",
  "state": "relaxed",
  "raw_formation_energy_ev_per_fu": -2.7,
  "magmom_total_mub_per_atom": 0.046,
  "sg": "Pnma",
  "cell": [[8.224, 0.000, 0.000], [0.000, 3.941, 0.000], [0.000, 0.000, 19.370]],
  "species": ["Tb", "Tb", "Tb", "Tb", "Tb", "Tb", "Tb", "Tb", "Tb", "Tb", "Tb", "Tb", "Tb", "Tb", "Tb", "Tb", "Fe", "Fe", "Fe", "Fe", "Te", "Te", "Te", "Te"],
  "fractional_positions": [[0.009, 0.250, 0.067], [0.042, 0.750, 0.216], [0.141, 0.750, 0.643], [0.144, 0.750, 0.453], [0.356, 0.250, 0.953], [0.359, 0.250, 0.143], [0.458, 0.250, 0.716], [0.491, 0.750, 0.567], [0.509, 0.250, 0.433], [0.542, 0.750, 0.284], [0.641, 0.750, 0.857], [0.644, 0.750, 0.047], [0.856, 0.250, 0.547], [0.859, 0.250, 0.357], [0.958, 0.250, 0.784], [0.991, 0.750, 0.933], [0.245, 0.250, 0.551], [0.255, 0.750, 0.051], [0.745, 0.250, 0.949], [0.755, 0.750, 0.449], [0.243, 0.250, 0.312], [0.257, 0.750, 0.812], [0.743, 0.250, 0.188], [0.757, 0.750, 0.688]]
}


{
  "formula": "Tb3FeTe",
  "functional": "PBE",
  "state": "relaxed",
  "raw_formation_energy_ev_per_fu": -2.8,
  "magmom_total_mub_per_atom": 0.208,
  "sg": "P2_1/m",
  "cell": [[8.257, 0.000, 0.000], [0.000, 3.962, 0.000], [-2.556, 0.000, 8.082]],
  "species": ["Tb", "Tb", "Tb", "Tb", "Tb", "Tb", "Fe", "Fe", "Te", "Te"],
  "fractional_positions": [[0.070, 0.250, 0.244], [0.306, 0.250, 0.925], [0.319, 0.750, 0.590], [0.681, 0.250, 0.410], [0.694, 0.750, 0.075], [0.930, 0.750, 0.756], [0.051, 0.250, 0.566], [0.949, 0.750, 0.434], [0.380, 0.750, 0.233], [0.620, 0.250, 0.767]]
}